No. 1
# PBEsol ZrO2F5, relaxed
# * space-group type: No. 10
# * spin magnetization: 2.03 μB per cell
# * E_form (uncorrected): -2.31 eV per atom
data_ZrO2F5
_chemical_formula_sum 'Zr2 O4 F10'
_space_group_name_H-M_alt 'P 1'
_space_group_IT_number 1
_space_group_name_Hall 'P 1'
_cell_length_a 5.742
_cell_length_b 7.144
_cell_length_c 5.744
_cell_angle_alpha 90.00
_cell_angle_beta 108.00
_cell_angle_gamma 90.00
loop_
_atom_site_label
_atom_site_fract_x
_atom_site_fract_y
_atom_site_fract_z
Zr1 0.193 0.000 0.307
Zr2 0.807 0.000 0.693
O1 0.066 0.500 0.439
O2 0.500 0.417 0.000
O3 0.500 0.583 0.000
O4 0.934 0.500 0.561
F1 0.000 0.162 0.500
F2 0.000 0.838 0.500
F3 0.170 0.000 0.933
F4 0.253 0.276 0.247
F5 0.253 0.724 0.247
F6 0.433 0.000 0.670
F7 0.567 0.000 0.330
F8 0.747 0.276 0.753
F9 0.747 0.724 0.753
F10 0.830 0.000 0.067

No. 2
# PBEsol BaScW, relaxed
# * space-group type: No. 42
# * spin magnetization: 0.00 μB per cell
# * formation energy: 19.56 kcal/mol of atoms
data_BaScW
_chemical_formula_sum 'Ba1 Sc1 W1'
_space_group_name_H-M_alt 'P 1'
_space_group_IT_number 1
_space_group_name_Hall 'P 1'
_cell_length_a 8.425
_cell_length_b 8.362
_cell_length_c 3.052
_cell_angle_alpha 80.68
_cell_angle_beta 78.38
_cell_angle_gamma 20.94
loop_
_atom_site_label
_atom_site_fract_x
_atom_site_fract_y
_atom_site_fract_z
Ba1 0.000 0.000 0.000
Sc1 0.287 0.287 0.713
W1 0.667 0.667 0.333

No. 3
# PBEsol Y2ReO5, relaxed
# * space-group type: No. 85
# * spin magnetization: 0.00 μB per cell
# * E_form (uncorrected): -2.84 eV per atom
data_Y2ReO5
_chemical_formula_sum 'Y8 Re4 O20'
_space_group_name_H-M_alt 'P 1'
_space_group_IT_number 1
_space_group_name_Hall 'P 1'
_cell_length_a 8.445
_cell_length_b 8.445
_cell_length_c 5.590
_cell_angle_alpha 90.00
_cell_angle_beta 90.00
_cell_angle_gamma 90.00
loop_
_atom_site_label
_atom_site_fract_x
_atom_site_fract_y
_atom_site_fract_z
Y1 0.101 0.891 0.250
Y2 0.109 0.601 0.750
Y3 0.391 0.899 0.750
Y4 0.399 0.609 0.250
Y5 0.601 0.391 0.750
Y6 0.609 0.101 0.250
Y7 0.891 0.399 0.250
Y8 0.899 0.109 0.750
Re1 0.250 0.250 0.146
Re2 0.250 0.250 0.547
Re3 0.750 0.750 0.453
Re4 0.750 0.750 0.854
O1 0.046 0.154 0.096
O2 0.046 0.344 0.605
O3 0.154 0.454 0.096
O4 0.156 0.046 0.605
O5 0.250 0.750 0.000
O6 0.250 0.750 0.500
O7 0.344 0.454 0.605
O8 0.346 0.046 0.096
O9 0.454 0.156 0.605
O10 0.454 0.346 0.096
O11 0.546 0.654 0.904
O12 0.546 0.844 0.395
O13 0.654 0.954 0.904
O14 0.656 0.546 0.395
O15 0.750 0.250 0.000
O16 0.750 0.250 0.500
O17 0.844 0.954 0.395
O18 0.846 0.546 0.904
O19 0.954 0.656 0.395
O20 0.954 0.846 0.904

No. 4
# PBEsol P2Rh, relaxed
# * space-group type: No. 139
# * spin magnetization: 0.00 μB per cell
# * formation energy: 1.49 kcal/mol of atoms
data_P2Rh
_chemical_formula_sum 'P2 Rh1'
_space_group_name_H-M_alt 'P 1'
_space_group_IT_number 1
_space_group_name_Hall 'P 1'
_cell_length_a 4.403
_cell_length_b 4.403
_cell_length_c 4.403
_cell_angle_alpha 135.54
_cell_angle_beta 135.54
_cell_angle_gamma 64.69
loop_
_atom_site_label
_atom_site_fract_x
_atom_site_fract_y
_atom_site_fract_z
P1 0.164 0.164 0.000
P2 0.836 0.836 0.000
Rh1 0.500 0.500 0.000

- What is the formula in the first record?
  ZrO2F5